4
Lattice="3.3168 0.0000 0.0000 0.0000 4.2355 0.0000 0.0000 0.0000 5.1255" Properties=species:S:1:pos:R:3 comment="BeTl2Rh | the Alexandria database | SCAN | PBEsol geometry" de_polymorph_kj_per_mol_fu=127.0 vol_a3_per_cell=72.0 crystal_system=orthorhombic magmom_total_mub_per_fu=0.0 formation_enthalpy_0k_ev_per_atom=0.49 pbc="T T T"
Be 1.6584 2.1177 0.0000
Tl 0.0000 0.0000 0.0000
Tl 1.6584 0.0000 2.5627
Rh 0.0000 2.1177 2.5627